Record 1
Here is a relaxed V2GaTc crystal from Alexandria. Energies are from PBE-GGA.

a b c (Å): 3.176 4.192 8.385
angles (deg): 90.00 90.00 90.00
Space group Immm (No. 71)
Symmetry-distinct sites (fractional):
V 0.000 0.000 0.236 x4
Ga 0.000 0.500 0.000 x2
Tc 0.000 0.500 0.500 x2

Record 2
Here is a relaxed V3GaTc crystal from Alexandria. Energies are from PBE-GGA.

Distance to the lowest polymorph of the same formula: 1427 meV/atom

a b c (Å): 4.417 4.417 4.417
angles (deg): 90.00 90.00 90.00
Space group Pm-3m (No. 221)
Symmetry-distinct sites (fractional):
V 0.000 0.000 0.500 x3
Ga 0.000 0.000 0.000 x1
Tc 0.500 0.500 0.500 x1

Record 3
Here is a relaxed V2GaTc crystal from Alexandria. Energies are from PBE-GGA.

a b c (Å): 4.081 4.081 3.330
angles (deg): 90.00 90.00 90.00
Space group P4/mmm (No. 123)
Symmetry-distinct sites (fractional):
V 0.000 0.500 0.000 x2
Ga 0.000 0.000 0.500 x1
Tc 0.500 0.500 0.500 x1

Record 4
Here is a relaxed V2Ga2Tc crystal from Alexandria. Energies are from PBE-GGA.

Distance to the lowest polymorph of the same formula: 407 meV/atom

a b c (Å): 3.365 3.365 13.568
angles (deg): 90.00 90.00 90.00
Space group I4/mmm (No. 139)
Symmetry-distinct sites (fractional):
V 0.000 0.000 0.094 x4
Ga 0.000 0.500 0.250 x4
Tc 0.000 0.000 0.500 x2

| no. | formation energy from the elements (eV/atom) |
| --- | --- |
| 1 | -0.24 |
| 2 | 1.35 |
| 3 | -0.21 |
| 4 | 0.30 |